1.
Crystalline Zn2TcAu at its relaxed geometry. Source: Alexandria, functional PBE-GGA.

Lattice parameters (Å, degrees): 2.749 4.006 5.572 90.00 90.00 90.00
Sites, in units of the cell vectors:
Zn 0.000 0.000 0.987
Tc 0.500 0.500 0.772
Zn 0.500 0.500 0.251
Au 0.000 0.000 0.490

Output
ρ, g cm⁻³: 11.52
N(E_F), states/eV/atom: 0.9628
Final energy, eV per cell: -15.70
Spin magnetization, μB/cell: 0.01
E_form, meV per atom: 123
Polymorph energy (0 for the lowest one), meV per atom: 121
Space group: Pmm2 (25)



2.
Crystalline Al2Zn5Ag6 at its relaxed geometry. Source: Alexandria, functional PBE-GGA.

Lattice parameters (Å, degrees): 2.992 8.810 16.576 90.00 90.00 90.00
Sites, in units of the cell vectors:
Zn 0.500 0.693 0.522
Zn 0.500 0.408 0.738
Ag 0.000 0.620 0.121
Zn 0.500 0.592 0.262
Zn 0.500 0.000 0.500
Zn 0.500 0.307 0.478
Al 0.000 0.344 0.274
Ag 0.000 0.380 0.879
Al 0.000 0.844 0.226
Ag 0.000 0.961 0.906
Zn 0.500 0.193 0.978
Ag 0.500 0.829 0.367
Ag 0.500 0.171 0.633
Zn 0.500 0.500 0.000
Al 0.000 0.156 0.774
Ag 0.000 0.039 0.094
Ag 0.000 0.539 0.406
Zn 0.500 0.807 0.022
Ag 0.500 0.329 0.133
Al 0.000 0.656 0.726
Ag 0.000 0.461 0.594
Zn 0.500 0.908 0.762
Ag 0.000 0.880 0.621
Ag 0.000 0.120 0.379
Ag 0.500 0.671 0.867
Zn 0.500 0.092 0.238

Output
ρ, g cm⁻³: 7.82
N(E_F), states/eV/atom: 0.2470
Final energy, eV per cell: -61.90
Spin magnetization, μB/cell: 0.00
E_form, meV per atom: 1
Space group: Pbam (55)



3.
Crystalline Be3Tl at its relaxed geometry. Source: Alexandria, functional PBE-GGA.

Lattice parameters (Å, degrees): 3.851 3.851 3.723 90.00 90.00 103.09
Sites, in units of the cell vectors:
Be 0.500 0.000 0.500
Tl 0.000 0.000 0.000
Be 0.500 0.500 0.000
Be 0.000 0.500 0.500

Output
ρ, g cm⁻³: 7.15
N(E_F), states/eV/atom: 0.1177
Final energy, eV per cell: -10.67
Spin magnetization, μB/cell: 0.00
E_form, meV per atom: 718
Polymorph energy (0 for the lowest one), meV per atom: 362
Space group: Cmmm (65)



4.
Crystalline TaNiHg at its relaxed geometry. Source: Alexandria, functional PBE-GGA.

Lattice parameters (Å, degrees): 3.168 3.165 10.497 90.00 95.19 90.00
Sites, in units of the cell vectors:
Ta 0.276 0.250 0.588
Ni 0.818 0.750 0.713
Hg 0.625 0.750 0.119
Ta 0.724 0.750 0.412
Ni 0.182 0.250 0.287
Hg 0.375 0.250 0.881

Output
ρ, g cm⁻³: 13.95
N(E_F), states/eV/atom: 0.4686
Final energy, eV per cell: -36.02
Spin magnetization, μB/cell: 0.00
E_form, meV per atom: -25
Polymorph energy (0 for the lowest one), meV per atom: 0
Space group: P2_1/m (11)